Rb2YOsF6: optimized geometry, PBE-GGA.

Cell: 6.523 6.523 6.341 Å, 59.04 59.04 90.00°
Fractional coordinates of all 10 atoms:
Y 0.500 0.500 0.000
Os 0.000 0.000 0.000
Rb 0.750 0.250 0.500
Rb 0.250 0.750 0.500
F 0.249 0.249 0.502
F 0.751 0.751 0.498
F 0.263 0.263 0.000
F 0.737 0.737 0.000
F 0.737 0.263 0.000
F 0.263 0.737 0.000

Output
**Symmetry**: I4/mmm (139)
**N(E_F)**: 0.304 states/eV per atom
**Total magnetization**: 0.098 μB/atom
**V**: 18.5 A^3/atom
**Raw total energy**: -5.36 eV/atom
**Formation energy without anion corrections**: -52.54 kcal/mol of atoms